{"formula": "CrHgN2O", "functional": "PBE with a Hubbard U", "state": "relaxed", "magmom_total_mub_per_cell": 0.00, "vol_a3_per_atom": 11.38, "space_group": "P4/mmm (123)", "final_energy_ev_per_cell": -25.21, "cell": [[3.7021, 0.0000, 0.0000], [0.0000, 3.7021, 0.0000], [0.0000, 0.0000, 4.1512]], "species": ["Cr", "Hg", "N", "N", "O"], "frac_coords": [[0.0000, 0.0000, 0.0000], [0.5000, 0.5000, 0.5000], [0.0000, 0.5000, 0.0000], [0.5000, 0.0000, 0.0000], [0.0000, 0.0000, 0.5000]]}